DFT (PBE) results for crystalline NdYTmAg at its relaxed geometry.

abc: 3.6254 3.6254 8.6787
angles: 90.00 90.00 90.00
Last column: nearest neighbours and their distance in Å.
Sites, in units of the cell vectors:
Ag (0.0000, 0.0000, 0.5636)  4 Tm 3.08, 4 Y 3.17
Tm (0.5000, 0.5000, 0.3661)  4 Ag 3.08
Y (0.5000, 0.5000, 0.7790)  4 Ag 3.17
Nd (0.0000, 0.0000, 0.0761)  4 Tm 3.59, 4 Nd 3.63, 4 Y 3.64

Summary:
Offset from the most stable computed form (eV/f.u.): 0.00
Mass density (g cm⁻³): 7.42

***

DFT (PBE) results for crystalline NdYTmAg at its relaxed geometry.

abc: 5.4223 5.4223 5.4223
angles: 60.00 60.00 60.00
Last column: nearest neighbours and their distance in Å.
Sites, in units of the cell vectors:
Nd (0.2500, 0.2500, 0.2500)  4 Tm 3.32, 4 Ag 3.32
Y (0.7500, 0.7500, 0.7500)  4 Ag 3.32, 4 Tm 3.32
Ag (0.5000, 0.5000, 0.5000)  4 Nd 3.32, 4 Y 3.32
Tm (0.0000, 0.0000, 0.0000)  4 Y 3.32, 4 Nd 3.32

Summary:
Offset from the most stable computed form (eV/f.u.): 0.75
Mass density (g cm⁻³): 7.51

***

DFT (PBE) results for crystalline Nd5YAg6 at its relaxed geometry.

abc: 5.3121 7.4023 8.4315
angles: 90.00 71.16 90.00
Last column: nearest neighbours and their distance in Å.
Sites, in units of the cell vectors:
Ag (0.5000, 0.2422, 0.0000)  6 Nd 3.20-3.29, 2 Y 3.20
Ag (0.1633, 0.7543, 0.6733)  1 Y 3.18, 7 Nd 3.22-3.29
Y (0.0000, 0.0000, 0.0000)  8 Ag 3.18-3.20
Ag (0.8368, 0.7543, 0.3267)  1 Y 3.18, 7 Nd 3.22-3.29
Ag (0.5000, 0.7578, 0.0000)  6 Nd 3.20-3.29, 2 Y 3.20
Nd (0.3323, 0.5000, 0.3355)  8 Ag 3.26-3.29
Ag (0.8367, 0.2457, 0.3267)  1 Y 3.18, 7 Nd 3.22-3.29
Nd (0.3338, 0.0000, 0.3321)  8 Ag 3.20-3.27
Nd (0.0000, 0.5000, 0.0000)  8 Ag 3.22-3.27
Ag (0.1632, 0.2457, 0.6733)  1 Y 3.18, 7 Nd 3.22-3.29
Nd (0.6662, 0.0000, 0.6679)  8 Ag 3.20-3.27
Nd (0.6677, 0.5000, 0.6645)  8 Ag 3.26-3.29

Summary:
Mass density (g cm⁻³): 7.71

***

DFT (PBE) results for crystalline Nd3Y4Ag at its relaxed geometry.

abc: 3.6213 3.6213 19.2112
angles: 90.00 90.00 90.00
Last column: nearest neighbours and their distance in Å.
Sites, in units of the cell vectors:
Nd (0.5000, 0.5000, 0.5000)  4 Nd 3.62, 8 Y 3.63
Y (0.0000, 0.0000, 0.6340)  4 Y 3.62, 8 Nd 3.63
Nd (0.5000, 0.5000, 0.2322)  4 Nd 3.62, 8 Y 3.63-3.65
Y (0.0000, 0.0000, 0.9033)  4 Ag 3.16
Nd (0.5000, 0.5000, 0.7678)  4 Nd 3.62, 8 Y 3.63-3.65
Y (0.0000, 0.0000, 0.3660)  4 Y 3.62, 8 Nd 3.63
Ag (0.5000, 0.5000, 0.0000)  8 Y 3.16
Y (0.0000, 0.0000, 0.0967)  4 Ag 3.16

Summary:
Mass density (g cm⁻³): 5.91

***

DFT (PBE) results for crystalline Nd2Y3Ag4 at its relaxed geometry.

abc: 6.9677 7.6577 9.7892
angles: 90.00 110.85 90.00
Last column: nearest neighbours and their distance in Å.
Sites, in units of the cell vectors:
Nd (0.5964, 0.9187, 0.1928)  3 Ag 3.10-3.31
Ag (0.8377, 0.0165, 0.6754)  5 Y 2.97-3.06, 2 Ag 3.13, 1 Nd 3.31
Y (0.0092, 0.7500, 0.5184)  5 Ag 3.04-3.06
Ag (0.6623, 0.5165, 0.3246)  5 Y 2.97-3.06, 2 Ag 3.13, 1 Nd 3.31
Y (0.5092, 0.7500, 0.5184)  5 Ag 3.04-3.06
Nd (0.0964, 0.5813, 0.1928)  3 Ag 3.10-3.31
Ag (0.6758, 0.7500, 0.8517)  3 Y 2.92-3.05, 2 Nd 3.10, 2 Ag 3.13
Y (0.9908, 0.2500, 0.4816)  5 Ag 3.04-3.06
Ag (0.3377, 0.4835, 0.6754)  5 Y 2.97-3.06, 2 Ag 3.13, 1 Nd 3.31
Y (0.5000, 0.5000, 0.0000)  6 Ag 2.92-2.97
Nd (0.9036, 0.4187, 0.8072)  3 Ag 3.10-3.31
Ag (0.8242, 0.2500, 0.1483)  3 Y 2.92-3.05, 2 Nd 3.10, 2 Ag 3.13
Ag (0.1623, 0.9835, 0.3246)  5 Y 2.97-3.06, 2 Ag 3.13, 1 Nd 3.31
Ag (0.3242, 0.2500, 0.1483)  3 Y 2.92-3.05, 2 Nd 3.10, 2 Ag 3.13
Ag (0.1758, 0.7500, 0.8517)  3 Y 2.92-3.05, 2 Nd 3.10, 2 Ag 3.13
Y (0.4908, 0.2500, 0.4816)  5 Ag 3.04-3.06
Nd (0.4036, 0.0813, 0.8072)  3 Ag 3.10-3.31
Y (0.0000, 0.0000, 0.0000)  6 Ag 2.92-2.97

Summary:
Mass density (g cm⁻³): 6.71

***

DFT (PBE) results for crystalline Nd5YAg4 at its relaxed geometry.

abc: 3.7228 3.7228 20.2573
angles: 90.00 90.00 90.00
Last column: nearest neighbours and their distance in Å.
Sites, in units of the cell vectors:
Nd (0.5000, 0.5000, 0.6890)  8 Ag 3.26
Y (0.0000, 0.0000, 0.0000)  8 Nd 3.63, 4 Y 3.72
Nd (0.5000, 0.5000, 0.1236)  4 Ag 3.23
Nd (0.5000, 0.5000, 0.8764)  4 Ag 3.23
Ag (0.0000, 0.0000, 0.4060)  8 Nd 3.25-3.26
Nd (0.5000, 0.5000, 0.3110)  8 Ag 3.26
Ag (0.0000, 0.0000, 0.2163)  8 Nd 3.23-3.26
Ag (0.0000, 0.0000, 0.5940)  8 Nd 3.25-3.26
Nd (0.5000, 0.5000, 0.5000)  8 Ag 3.25
Ag (0.0000, 0.0000, 0.7837)  8 Nd 3.23-3.26

Summary:
Mass density (g cm⁻³): 7.34

***

DFT (PBE) results for crystalline NdYAg4 at its relaxed geometry.

abc: 5.3678 5.3705 5.4221
angles: 60.31 89.95 89.89
Last column: nearest neighbours and their distance in Å.
Sites, in units of the cell vectors:
Ag (0.0013, 0.8326, 0.8337)  5 Ag 3.06-3.19, 3 Nd 3.12, 2 Y 3.12
Ag (0.0013, 0.1710, 0.1572)  5 Ag 3.06-3.19, 3 Nd 3.12, 2 Y 3.12
Ag (0.5013, 0.3275, 0.8442)  5 Ag 3.04-3.29, 3 Y 3.07-3.15, 2 Nd 3.15
Y (0.5013, 0.0019, 0.4954)  10 Ag 3.07-3.15
Ag (0.5013, 0.6764, 0.1466)  5 Ag 3.04-3.29, 3 Y 3.07-3.15, 2 Nd 3.15
Nd (0.0013, 0.5018, 0.4954)  10 Ag 3.12-3.15

Summary:
Offset from the most stable computed form (eV/f.u.): 0.00
Mass density (g cm⁻³): 8.13

***

DFT (PBE) results for crystalline NdYAg2 at its relaxed geometry.

abc: 3.6683 3.6683 7.5206
angles: 90.00 90.00 90.00
Last column: nearest neighbours and their distance in Å.
Sites, in units of the cell vectors:
Y (0.5000, 0.5000, 0.0000)  8 Ag 3.13
Ag (0.0000, 0.0000, 0.2332)  4 Y 3.13, 4 Nd 3.28
Ag (0.0000, 0.0000, 0.7668)  4 Y 3.13, 4 Nd 3.28
Nd (0.5000, 0.5000, 0.5000)  8 Ag 3.28, 4 Nd 3.67

Summary:
Offset from the most stable computed form (eV/f.u.): 0.00
Mass density (g cm⁻³): 7.37

***

DFT (PBE) results for crystalline NdYAg6 at its relaxed geometry.

abc: 4.6142 5.1809 8.3519
angles: 82.22 73.96 63.56
Last column: nearest neighbours and their distance in Å.
Sites, in units of the cell vectors:
Ag (0.5032, 0.2407, 0.7528)  8 Ag 3.02-3.15, 2 Y 3.23, 2 Nd 3.29
Ag (0.2483, 0.8708, 0.6327)  1 Y 3.02, 8 Ag 3.04-3.35, 3 Nd 3.08-3.09
Ag (0.7474, 0.6248, 0.8804)  8 Ag 3.02-3.24, 3 Y 3.04-3.05, 1 Nd 3.12
Y (0.0000, 0.0000, 0.0000)  12 Ag 3.02-3.23
Ag (0.2526, 0.3752, 0.1196)  8 Ag 3.02-3.24, 3 Y 3.04-3.05, 1 Nd 3.12
Nd (0.0000, 0.5000, 0.5000)  12 Ag 3.08-3.29
Ag (0.7517, 0.1292, 0.3673)  1 Y 3.02, 8 Ag 3.04-3.35, 3 Nd 3.08-3.09
Ag (0.4968, 0.7593, 0.2472)  8 Ag 3.02-3.15, 2 Y 3.23, 2 Nd 3.29

Summary:
Mass density (g cm⁻³): 8.51

***

DFT (PBE) results for crystalline NdY4Ag5 at its relaxed geometry.

abc: 3.6333 3.6333 18.6656
angles: 90.00 90.00 90.00
Last column: nearest neighbours and their distance in Å.
Sites, in units of the cell vectors:
Ag (0.5000, 0.5000, 0.5000)  8 Y 3.16
Ag (0.5000, 0.5000, 0.1085)  4 Y 3.13, 4 Nd 3.27
Y (0.0000, 0.0000, 0.7959)  8 Ag 3.13-3.16
Ag (0.5000, 0.5000, 0.3028)  8 Y 3.16
Ag (0.5000, 0.5000, 0.6972)  8 Y 3.16
Y (0.0000, 0.0000, 0.4013)  8 Ag 3.16
Nd (0.0000, 0.0000, 0.0000)  8 Ag 3.27, 4 Nd 3.63
Y (0.0000, 0.0000, 0.5987)  8 Ag 3.16
Ag (0.5000, 0.5000, 0.8915)  4 Y 3.13, 4 Nd 3.27
Y (0.0000, 0.0000, 0.2041)  8 Ag 3.13-3.16

Summary:
Mass density (g cm⁻³): 7.00

***

DFT (PBE) results for crystalline NdYAg4 at its relaxed geometry.

abc: 5.7566 5.7566 5.7566
angles: 60.00 60.00 60.00
Last column: nearest neighbours and their distance in Å.
Sites, in units of the cell vectors:
Y (0.2500, 0.2500, 0.2500)  12 Ag 3.37, 4 Nd 3.53
Ag (0.6247, 0.6247, 0.1260)  6 Ag 2.87-2.89
Ag (0.6247, 0.6247, 0.6247)  6 Ag 2.87-2.89
Ag (0.1260, 0.6247, 0.6247)  6 Ag 2.87-2.89
Ag (0.6247, 0.1260, 0.6247)  6 Ag 2.87-2.89
Nd (0.0000, 0.0000, 0.0000)  12 Ag 3.38, 4 Y 3.53

Summary:
Offset from the most stable computed form (eV/f.u.): 0.68
Mass density (g cm⁻³): 8.18

***

DFT (PBE) results for crystalline Nd3Y2Ag3 at its relaxed geometry.

abc: 3.7262 5.4318 11.5359
angles: 103.62 99.29 90.00
Last column: nearest neighbours and their distance in Å.
Sites, in units of the cell vectors:
Ag (0.8794, 0.8794, 0.7587)  2 Y 3.08, 6 Nd 3.25-3.29
Ag (0.1206, 0.1206, 0.2413)  2 Y 3.08, 6 Nd 3.25-3.29
Nd (0.3785, 0.3785, 0.7570)  6 Ag 3.27-3.29, 2 Y 3.65
Nd (0.5000, 0.0000, 0.0000)  8 Ag 3.25-3.29
Y (0.7317, 0.2317, 0.4633)  2 Ag 3.08, 4 Y 3.39
Y (0.2683, 0.7683, 0.5367)  2 Ag 3.08, 4 Y 3.39
Nd (0.6215, 0.6215, 0.2430)  6 Ag 3.27-3.29, 2 Y 3.65
Ag (0.0000, 0.5000, 0.0000)  8 Nd 3.27-3.29

Summary:
Mass density (g cm⁻³): 6.93

***

| no. | ΔE_f (kJ/mol of atoms) |
| --- | --- |
| 1 | -13.3 |
| 2 | 4.9 |
| 3 | -25.8 |
| 4 | -6.0 |
| 5 | -16.0 |
| 6 | -18.9 |
| 7 | -26.8 |
| 8 | -28.5 |
| 9 | -18.7 |
| 10 | -30.7 |
| 11 | -16.0 |
| 12 | -18.3 |